# 1
Compound: CsNbHg2
Source: Alexandria
Functional: GGA-PBE
Structure: relaxed

Magnetic moment: 4.0 μB/f.u.
Crystal system: cubic
ΔE to the lowest computed polymorph: 0.135 eV/atom
Formation energy from the elements: 0.862 eV per atom
Space group: No. 225

abc: 7.9762 7.9762 7.9762
angles: 90.00 90.00 90.00
Sites, in units of the cell vectors:
Cs (0.0000, 0.0000, 0.0000)
Cs (0.0000, 0.5000, 0.5000)
Cs (0.5000, 0.0000, 0.5000)
Cs (0.5000, 0.5000, 0.0000)
Nb (0.0000, 0.0000, 0.5000)
Nb (0.0000, 0.5000, 0.0000)
Nb (0.5000, 0.0000, 0.0000)
Nb (0.5000, 0.5000, 0.5000)
Hg (0.2500, 0.2500, 0.2500)
Hg (0.2500, 0.2500, 0.7500)
Hg (0.2500, 0.7500, 0.2500)
Hg (0.2500, 0.7500, 0.7500)
Hg (0.7500, 0.2500, 0.2500)
Hg (0.7500, 0.2500, 0.7500)
Hg (0.7500, 0.7500, 0.2500)
Hg (0.7500, 0.7500, 0.7500)

# 2
Compound: Sm3MgZn8
Source: Alexandria
Functional: GGA-PBE
Structure: relaxed

Magnetic moment: 0.0 μB/f.u.
Crystal system: trigonal
Formation energy from the elements: -0.285 eV per atom
Space group: No. 160

abc: 9.4884 9.4884 9.4884
angles: 33.59 33.59 33.59
Sites, in units of the cell vectors:
Sm (0.0000, 0.0000, 0.0000)
Sm (0.1257, 0.1257, 0.1257)
Sm (0.6192, 0.6192, 0.6192)
Mg (0.4961, 0.4961, 0.4961)
Zn (0.0601, 0.5619, 0.5619)
Zn (0.0619, 0.0619, 0.5575)
Zn (0.0619, 0.5575, 0.0619)
Zn (0.3112, 0.3112, 0.3112)
Zn (0.5575, 0.0619, 0.0619)
Zn (0.5619, 0.0601, 0.5619)
Zn (0.5619, 0.5619, 0.0601)
Zn (0.8101, 0.8101, 0.8101)

# 3
Compound: BaCuRh2
Source: Alexandria
Functional: GGA-PBE
Structure: relaxed

Magnetic moment: 0.0 μB/f.u.
Crystal system: cubic
ΔE to the lowest computed polymorph: 0.554 eV/atom
Formation energy from the elements: 0.446 eV per atom
Space group: No. 225

abc: 6.7361 6.7361 6.7361
angles: 90.00 90.00 90.00
Sites, in units of the cell vectors:
Ba (0.0000, 0.0000, 0.0000)
Ba (0.0000, 0.5000, 0.5000)
Ba (0.5000, 0.0000, 0.5000)
Ba (0.5000, 0.5000, 0.0000)
Cu (0.0000, 0.0000, 0.5000)
Cu (0.0000, 0.5000, 0.0000)
Cu (0.5000, 0.0000, 0.0000)
Cu (0.5000, 0.5000, 0.5000)
Rh (0.2500, 0.2500, 0.2500)
Rh (0.2500, 0.2500, 0.7500)
Rh (0.2500, 0.7500, 0.2500)
Rh (0.2500, 0.7500, 0.7500)
Rh (0.7500, 0.2500, 0.2500)
Rh (0.7500, 0.2500, 0.7500)
Rh (0.7500, 0.7500, 0.2500)
Rh (0.7500, 0.7500, 0.7500)

# 4
Compound: Ca4BiSe2Cl
Source: Alexandria
Functional: GGA-PBE
Structure: relaxed

Magnetic moment: 0.0 μB/f.u.
Crystal system: orthorhombic
Energy relative to the elements, uncorrected: -1.678 eV/atom
Space group: No. 42

abc: 7.4917 6.1162 7.4914
angles: 65.91 48.18 65.91
Sites, in units of the cell vectors:
Ca (0.2487, 0.7513, 0.2487)
Ca (0.4995, 0.9993, 0.5005)
Ca (0.7513, 0.2487, 0.7513)
Ca (0.9993, 0.4995, 0.0007)
Bi (0.4994, 0.4994, 0.5006)
Se (0.2500, 0.2500, 0.2500)
Se (0.7500, 0.7500, 0.7500)
Cl (0.9990, 0.9990, 0.0010)

What is the formula in the first record? CsNbHg2

What is the magnetic moment in the fourth record? 0.0 μB/f.u.

Look up the magnetic moment of the third one. 0.0 μB/f.u.